Entry 1:
Compound: TaTcIrCl2
Source: the Alexandria database
Functional: GGA-PBE
Structure: optimized geometry

Calculated values
N(E_F) (states/eV per atom): 0.7605
E_form (uncorrected) (kJ per mole of atoms): 90.4

Cell and atoms, written as CIF:
```
data_TaTcIrCl2
_space_group_name_H-M_alt 'P 4/m m m'
_space_group_IT_number 123
_space_group_name_Hall '-P 4 2'
_cell_length_a 4.652
_cell_length_b 4.652
_cell_length_c 5.133
_cell_angle_alpha 90.00
_cell_angle_beta 90.00
_cell_angle_gamma 90.00
loop_
_atom_site_label
_atom_site_type_symbol
_atom_site_fract_x
_atom_site_fract_y
_atom_site_fract_z
Ta1 Ta 0.000 0.000 0.000
Tc1 Tc 0.500 0.500 0.500
Ir1 Ir 0.000 0.000 0.500
Cl1 Cl 0.000 0.500 0.000
```



Entry 2:
Compound: Ta2IrWCl
Source: the Alexandria database
Functional: GGA-PBE
Structure: optimized geometry

Calculated values
N(E_F) (states/eV per atom): 1.1401
E_form (uncorrected) (kJ per mole of atoms): 173.2

Cell and atoms, written as CIF:
```
data_Ta2IrWCl
_space_group_name_H-M_alt 'P 4/m m m'
_space_group_IT_number 123
_space_group_name_Hall '-P 4 2'
_cell_length_a 4.930
_cell_length_b 4.930
_cell_length_c 4.436
_cell_angle_alpha 90.00
_cell_angle_beta 90.00
_cell_angle_gamma 90.00
loop_
_atom_site_label
_atom_site_type_symbol
_atom_site_fract_x
_atom_site_fract_y
_atom_site_fract_z
Ta1 Ta 0.000 0.500 0.000
Ir1 Ir 0.000 0.000 0.000
W1 W 0.500 0.500 0.500
Cl1 Cl 0.000 0.000 0.500
```



Repeat the second record exactly.
Compound: Ta2IrWCl
Source: the Alexandria database
Functional: GGA-PBE
Structure: optimized geometry

Calculated values
N(E_F) (states/eV per atom): 1.1401
E_form (uncorrected) (kJ per mole of atoms): 173.2

Cell and atoms, written as CIF:
```
data_Ta2IrWCl
_space_group_name_H-M_alt 'P 4/m m m'
_space_group_IT_number 123
_space_group_name_Hall '-P 4 2'
_cell_length_a 4.930
_cell_length_b 4.930
_cell_length_c 4.436
_cell_angle_alpha 90.00
_cell_angle_beta 90.00
_cell_angle_gamma 90.00
loop_
_atom_site_label
_atom_site_type_symbol
_atom_site_fract_x
_atom_site_fract_y
_atom_site_fract_z
Ta1 Ta 0.000 0.500 0.000
Ir1 Ir 0.000 0.000 0.000
W1 W 0.500 0.500 0.500
Cl1 Cl 0.000 0.000 0.500
```